[1]
A relaxed ZrHg2MoIr crystal, computed with PBE.

Values from the calculation:
Crystal system   tetragonal
Energy of formation   147.4 kJ/mol of atoms

Cell lengths 5.435, 5.435, 4.848 Å; angles 90.00, 90.00, 90.00 degrees
Space group P4/mmm (No. 123)
Symmetry-distinct sites (fractional):
Zr  0.000  0.000  0.000 x1
Hg  0.000  0.500  0.000 x2
Mo  0.500  0.500  0.500 x1
Ir  0.000  0.000  0.500 x1

***

[2]
A relaxed Hg3IrN crystal, computed with PBE.

Values from the calculation:
Crystal system   cubic
Uncorrected formation energy   163 kJ/mol of atoms
Energy relative to the lowest polymorph listed for this composition   390 meV/atom

Cell lengths 5.227, 5.227, 5.227 Å; angles 90.00, 90.00, 90.00 degrees
Space group Pm-3m (No. 221)
Symmetry-distinct sites (fractional):
Hg  0.000  0.000  0.500 x3
Ir  0.000  0.000  0.000 x1
N  0.500  0.500  0.500 x1

***

[3]
A relaxed HgIr3N crystal, computed with PBE.

Values from the calculation:
Crystal system   cubic
Uncorrected formation energy   349 kJ/mol of atoms
Energy relative to the lowest polymorph listed for this composition   2894 meV/atom

Cell lengths 5.041, 5.041, 5.041 Å; angles 90.00, 90.00, 90.00 degrees
Space group Pm-3m (No. 221)
Symmetry-distinct sites (fractional):
Hg  0.000  0.000  0.000 x1
Ir  0.000  0.000  0.500 x3
N  0.500  0.500  0.500 x1

***

[4]
A relaxed HgIr3N crystal, computed with PBE.

Values from the calculation:
Crystal system   cubic
Uncorrected formation energy   70 kJ/mol of atoms
Energy relative to the lowest polymorph listed for this composition   0 meV/atom

Cell lengths 4.169, 4.169, 4.169 Å; angles 90.00, 90.00, 90.00 degrees
Space group Pm-3m (No. 221)
Symmetry-distinct sites (fractional):
Hg  0.000  0.000  0.000 x1
Ir  0.000  0.500  0.500 x3
N  0.500  0.500  0.500 x1

***

[5]
A relaxed HgIr2N crystal, computed with PBE.

Values from the calculation:
Crystal system   cubic
Uncorrected formation energy   174 kJ/mol of atoms
Energy relative to the lowest polymorph listed for this composition   1246 meV/atom

Cell lengths 6.192, 6.192, 6.192 Å; angles 90.00, 90.00, 90.00 degrees
Space group Fm-3m (No. 225)
Symmetry-distinct sites (fractional):
Hg  0.000  0.000  0.000 x4
Ir  0.250  0.250  0.250 x8
N  0.000  0.000  0.500 x4

***

[6]
A relaxed HgIr2N crystal, computed with PBE.

Values from the calculation:
Crystal system   tetragonal
Uncorrected formation energy   54 kJ/mol of atoms
Energy relative to the lowest polymorph listed for this composition   0 meV/atom

Cell lengths 6.430, 6.430, 6.168 Å; angles 90.00, 90.00, 90.00 degrees
Space group I-42d (No. 122)
Symmetry-distinct sites (fractional):
Hg  0.000  0.000  0.000 x4
Ir  0.119  0.750  0.625 x8
N  0.000  0.000  0.500 x4

***

[7]
A relaxed Hg3IrN crystal, computed with PBE.

Values from the calculation:
Crystal system   cubic
Uncorrected formation energy   126 kJ/mol of atoms
Energy relative to the lowest polymorph listed for this composition   0 meV/atom

Cell lengths 4.558, 4.558, 4.558 Å; angles 90.00, 90.00, 90.00 degrees
Space group Pm-3m (No. 221)
Symmetry-distinct sites (fractional):
Hg  0.000  0.000  0.500 x3
Ir  0.500  0.500  0.500 x1
N  0.000  0.000  0.000 x1

***

[8]
A relaxed Na2HgIrN crystal, computed with PBE.

Values from the calculation:
Crystal system   tetragonal
Uncorrected formation energy   -12 kJ/mol of atoms

Cell lengths 5.169, 5.169, 3.722 Å; angles 90.00, 90.00, 90.00 degrees
Space group P4/mmm (No. 123)
Symmetry-distinct sites (fractional):
Na  0.000  0.500  0.000 x2
Hg  0.000  0.000  0.500 x1
Ir  0.500  0.500  0.500 x1
N  0.500  0.500  0.000 x1

***

[9]
A relaxed Ni2HgIrN crystal, computed with PBE.

Values from the calculation:
Crystal system   tetragonal
Uncorrected formation energy   23 kJ/mol of atoms

Cell lengths 3.997, 3.997, 3.990 Å; angles 90.00, 90.00, 90.00 degrees
Space group P4/mmm (No. 123)
Symmetry-distinct sites (fractional):
Ni  0.000  0.500  0.000 x2
Hg  0.000  0.000  0.500 x1
Ir  0.500  0.500  0.500 x1
N  0.500  0.500  0.000 x1

***

[10]
A relaxed HgIrN2O crystal, computed with PBE.

Values from the calculation:
Crystal system   tetragonal
Uncorrected formation energy   257 kJ/mol of atoms

Cell lengths 4.174, 4.174, 4.084 Å; angles 90.00, 90.00, 90.00 degrees
Space group P4/mmm (No. 123)
Symmetry-distinct sites (fractional):
Hg  0.000  0.000  0.000 x1
Ir  0.500  0.500  0.500 x1
N  0.000  0.500  0.000 x2
O  0.000  0.000  0.500 x1

***

[11]
A relaxed HgIrN2O crystal, computed with PBE.

Values from the calculation:
Crystal system   tetragonal
Uncorrected formation energy   81 kJ/mol of atoms

Cell lengths 3.796, 3.796, 4.510 Å; angles 90.00, 90.00, 90.00 degrees
Space group P4/mmm (No. 123)
Symmetry-distinct sites (fractional):
Hg  0.000  0.000  0.000 x1
Ir  0.500  0.500  0.500 x1
N  0.000  0.500  0.500 x2
O  0.500  0.500  0.000 x1

***

[12]
A relaxed HgIrPdN2 crystal, computed with PBE.

Values from the calculation:
Crystal system   tetragonal
Uncorrected formation energy   171 kJ/mol of atoms

Cell lengths 3.908, 3.908, 5.475 Å; angles 90.00, 90.00, 90.00 degrees
Space group P4/mmm (No. 123)
Symmetry-distinct sites (fractional):
Hg  0.000  0.000  0.000 x1
Ir  0.500  0.500  0.000 x1
Pd  0.500  0.500  0.500 x1
N  0.000  0.500  0.500 x2